Below is crystalline TaMnTl2 at its relaxed geometry, with properties calculated at the PBEsol level.

Summary:
ΔE_f ... 574 meV/atom
Distance to the lowest polymorph of the same formula ... 0 meV per atom
N(E_F) ... 0.85 states/eV per atom
Calculated density ... 13.7 g cm⁻³

Lattice parameters (Å, degrees): 3.009 4.903 10.620 90.00 90.00 90.00
Space group Imm2 (No. 44)
Unique sites:
Ta  0.000  0.000  0.000
Mn  0.000  0.500  0.698
Tl  0.000  0.000  0.444
Tl  0.000  0.500  0.226

---

Below is crystalline TaMnTl2 at its relaxed geometry, with properties calculated at the PBEsol level.

Summary:
ΔE_f ... 642 meV/atom
Distance to the lowest polymorph of the same formula ... 69 meV per atom
N(E_F) ... 0.72 states/eV per atom
Calculated density ... 13.5 g cm⁻³

Lattice parameters (Å, degrees): 6.111 9.644 3.008 90.00 116.65 90.00
Space group C2/m (No. 12)
Unique sites:
Ta  0.000  0.000  0.000
Mn  0.000  0.500  0.000
Tl  0.250  0.250  0.500

---

Below is crystalline Ta2MnTl at its relaxed geometry, with properties calculated at the PBEsol level.

Summary:
ΔE_f ... 603 meV/atom
N(E_F) ... 1.26 states/eV per atom
Calculated density ... 15.2 g cm⁻³

Lattice parameters (Å, degrees): 6.482 6.482 6.482 90.00 90.00 90.00
Space group Fm-3m (No. 225)
Unique sites:
Ta  0.250  0.250  0.250
Mn  0.000  0.000  0.000
Tl  0.000  0.000  0.500

---

Below is crystalline TaMnTl2 at its relaxed geometry, with properties calculated at the PBEsol level.

Summary:
ΔE_f ... 871 meV/atom
Distance to the lowest polymorph of the same formula ... 297 meV per atom
N(E_F) ... 0.62 states/eV per atom
Calculated density ... 13.9 g cm⁻³

Lattice parameters (Å, degrees): 6.755 6.755 6.755 90.00 90.00 90.00
Space group F-43m (No. 216)
Unique sites:
Ta  0.000  0.000  0.000
Mn  0.250  0.250  0.250
Tl  0.000  0.000  0.500
Tl  0.250  0.250  0.750

---

Below is crystalline Ta2MnV3 at its relaxed geometry, with properties calculated at the PBEsol level.

Summary:
ΔE_f ... -230 meV/atom
N(E_F) ... 0.42 states/eV per atom
Calculated density ... 11.2 g cm⁻³

Lattice parameters (Å, degrees): 4.9711 4.9711 11.8850 90.00 90.00 120.00
Space group R-3m (No. 166, hexagonal axes)
Unique sites:
Ta  0.0000  0.0000  0.1257
Mn  0.0000  0.0000  0.5000
V  0.0000  0.5000  0.0000

---

Below is crystalline TaMnW at its relaxed geometry, with properties calculated at the PBEsol level.

Summary:
ΔE_f ... 120 meV/atom
N(E_F) ... 0.80 states/eV per atom
Calculated density ... 15.9 g cm⁻³

Lattice parameters (Å, degrees): 4.3088 4.3088 2.7320 90.00 90.00 120.00
Space group P3m1 (No. 156)
Unique sites:
Ta  0.0000  0.0000  0.0000
Mn  0.6667  0.3333  0.3268
W  0.3333  0.6667  0.6373

---

Below is crystalline TaMn2W at its relaxed geometry, with properties calculated at the PBEsol level.

Summary:
ΔE_f ... -46 meV/atom
Distance to the lowest polymorph of the same formula ... 0 meV per atom
N(E_F) ... 0.81 states/eV per atom
Calculated density ... 14.7 g cm⁻³

Lattice parameters (Å, degrees): 5.986 5.986 5.986 90.00 90.00 90.00
Space group Fm-3m (No. 225)
Unique sites:
Ta  0.000  0.000  0.000
Mn  0.250  0.250  0.250
W  0.000  0.000  0.500

---

Below is crystalline TaMn2W at its relaxed geometry, with properties calculated at the PBEsol level.

Summary:
ΔE_f ... 389 meV/atom
Distance to the lowest polymorph of the same formula ... 436 meV per atom
N(E_F) ... 1.25 states/eV per atom
Calculated density ... 14.2 g cm⁻³

Lattice parameters (Å, degrees): 2.7061 2.7061 26.2449 90.00 90.00 120.00
Space group R3m (No. 160, hexagonal axes)
Unique sites:
Ta  0.0000  0.0000  0.0000
Mn  0.0000  0.0000  0.4865
Mn  0.0000  0.0000  0.7540
W  0.0000  0.0000  0.2363

---

Below is crystalline TaMn4W at its relaxed geometry, with properties calculated at the PBEsol level.

Summary:
ΔE_f ... -129 meV/atom
N(E_F) ... 1.55 states/eV per atom
Calculated density ... 13.1 g cm⁻³

Lattice parameters (Å, degrees): 6.664 6.664 6.664 90.00 90.00 90.00
Space group F-43m (No. 216)
Unique sites:
Ta  0.000  0.000  0.000
Mn  0.126  0.126  0.626
W  0.250  0.250  0.250

---

Below is crystalline TaMn2W at its relaxed geometry, with properties calculated at the PBEsol level.

Summary:
ΔE_f ... 128 meV/atom
Distance to the lowest polymorph of the same formula ... 174 meV per atom
N(E_F) ... 1.05 states/eV per atom
Calculated density ... 14.3 g cm⁻³

Lattice parameters (Å, degrees): 5.369 8.083 2.687 90.00 109.29 90.00
Space group C2/m (No. 12)
Unique sites:
Ta  0.000  0.000  0.000
Mn  0.250  0.250  0.500
W  0.000  0.500  0.000

---

Below is crystalline TaMnW2 at its relaxed geometry, with properties calculated at the PBEsol level.

Summary:
ΔE_f ... 281 meV/atom
N(E_F) ... 0.75 states/eV per atom
Calculated density ... 16.4 g cm⁻³

Lattice parameters (Å, degrees): 3.704 3.704 8.917 90.00 90.00 90.00
Space group I4/mmm (No. 139)
Unique sites:
Ta  0.000  0.000  0.000
Mn  0.000  0.000  0.500
W  0.000  0.500  0.250

---

Below is crystalline YTaMn2 at its relaxed geometry, with properties calculated at the PBEsol level.

Summary:
ΔE_f ... 155 meV/atom
N(E_F) ... 1.21 states/eV per atom
Calculated density ... 9.8 g cm⁻³

Lattice parameters (Å, degrees): 3.127 3.127 6.572 90.00 90.00 90.00
Space group P4/mmm (No. 123)
Unique sites:
Y  0.000  0.000  0.000
Ta  0.000  0.000  0.500
Mn  0.500  0.500  0.291

---

Question: What is the formula in the ninth record?
Answer: TaMn4W